[1]
Material: Cs6Ag3O
Method: DFT, PBE
State: optimized geometry

Cell lengths 8.798, 9.500, 14.967 Å; angles 90.00, 123.22, 90.00 degrees
Atoms (fractional coordinates):
1 Cs 0.103 0.044 0.218
2 Cs 0.103 0.456 0.718
3 Cs 0.217 0.728 0.063
4 Cs 0.217 0.772 0.563
5 Cs 0.322 0.161 0.047
6 Cs 0.322 0.339 0.547
7 Cs 0.678 0.661 0.453
8 Cs 0.678 0.839 0.953
9 Cs 0.783 0.228 0.437
10 Cs 0.783 0.272 0.937
11 Cs 0.897 0.544 0.282
12 Cs 0.897 0.956 0.782
13 Ag 0.288 0.084 0.754
14 Ag 0.288 0.416 0.254
15 Ag 0.500 0.000 0.500
16 Ag 0.500 0.500 0.000
17 Ag 0.712 0.584 0.746
18 Ag 0.712 0.916 0.246
19 O 0.000 0.000 0.000
20 O 0.000 0.500 0.500

Results
M_tot   0.0 μB/f.u.
Crystal system   monoclinic
Formation energy (no corrections)   -256 meV/atom

[2]
Material: Cs4AgO
Method: DFT, PBE
State: optimized geometry

Cell lengths 13.560, 13.560, 8.588 Å; angles 90.00, 90.00, 155.04 degrees
Atoms (fractional coordinates):
1 Cs 0.013 0.987 0.500
2 Cs 0.154 0.846 0.962
3 Cs 0.168 0.832 0.470
4 Cs 0.422 0.578 0.239
5 Cs 0.578 0.422 0.739
6 Cs 0.832 0.168 0.970
7 Cs 0.846 0.154 0.462
8 Cs 0.987 0.013 0.000
9 Ag 0.427 0.573 0.718
10 Ag 0.573 0.427 0.218
11 O 0.098 0.902 0.697
12 O 0.902 0.098 0.197

Results
M_tot   0.0 μB/f.u.
Crystal system   orthorhombic
E above lowest polymorph   0.000 eV per atom
Formation energy (no corrections)   -488 meV/atom

[3]
Material: CsAg3O
Method: DFT, PBE
State: optimized geometry

Cell lengths 4.892, 4.892, 4.892 Å; angles 90.00, 90.00, 90.00 degrees
Atoms (fractional coordinates):
1 Cs 0.000 0.000 0.000
2 Ag 0.000 0.500 0.500
3 Ag 0.500 0.000 0.500
4 Ag 0.500 0.500 0.000
5 O 0.500 0.500 0.500

Results
M_tot   0.0 μB/f.u.
Crystal system   cubic
Formation energy (no corrections)   167 meV/atom

[4]
Material: CsAg2O
Method: DFT, PBE
State: optimized geometry

Cell lengths 6.689, 6.689, 6.689 Å; angles 39.25, 39.25, 39.25 degrees
Atoms (fractional coordinates):
1 Cs 0.000 0.000 0.000
2 Ag 0.185 0.185 0.185
3 Ag 0.815 0.815 0.815
4 O 0.500 0.500 0.500

Results
M_tot   0.0 μB/f.u.
Crystal system   trigonal
Formation energy (no corrections)   43 meV/atom

[5]
Material: Cs2AgO
Method: DFT, PBE
State: optimized geometry

Cell lengths 5.615, 5.615, 5.615 Å; angles 60.00, 60.00, 60.00 degrees
Atoms (fractional coordinates):
1 Cs 0.250 0.250 0.250
2 Cs 0.750 0.750 0.750
3 Ag 0.000 0.000 0.000
4 O 0.500 0.500 0.500

Results
M_tot   1.0 μB/f.u.
Crystal system   cubic
Formation energy (no corrections)   -80 meV/atom

[6]
Material: Cs3Ag12O5
Method: DFT, PBE
State: optimized geometry

Cell lengths 13.954, 13.954, 13.954 Å; angles 109.47, 109.47, 109.47 degrees
Atoms (fractional coordinates):
1 Cs 0.125 0.250 0.375
2 Cs 0.125 0.375 0.750
3 Cs 0.250 0.375 0.125
4 Cs 0.250 0.875 0.625
5 Cs 0.375 0.125 0.250
6 Cs 0.375 0.750 0.125
7 Cs 0.625 0.250 0.875
8 Cs 0.625 0.875 0.750
9 Cs 0.750 0.125 0.375
10 Cs 0.750 0.625 0.875
11 Cs 0.875 0.625 0.250
12 Cs 0.875 0.750 0.625
13 Ag 0.036 0.591 0.881
14 Ag 0.036 0.945 0.156
15 Ag 0.055 0.711 0.091
16 Ag 0.055 0.844 0.964
17 Ag 0.091 0.055 0.711
18 Ag 0.091 0.536 0.381
19 Ag 0.119 0.656 0.711
20 Ag 0.119 0.964 0.409
21 Ag 0.156 0.036 0.945
22 Ag 0.156 0.619 0.211
23 Ag 0.211 0.156 0.619
24 Ag 0.211 0.555 0.591
25 Ag 0.289 0.881 0.344
26 Ag 0.289 0.909 0.945
27 Ag 0.344 0.289 0.881
28 Ag 0.344 0.555 0.464
29 Ag 0.381 0.091 0.536
30 Ag 0.381 0.789 0.844
31 Ag 0.409 0.119 0.964
32 Ag 0.409 0.789 0.445
33 Ag 0.445 0.409 0.789
34 Ag 0.445 0.536 0.656
35 Ag 0.464 0.344 0.555
36 Ag 0.464 0.619 0.909
37 Ag 0.536 0.381 0.091
38 Ag 0.536 0.656 0.445
39 Ag 0.555 0.464 0.344
40 Ag 0.555 0.591 0.211
41 Ag 0.591 0.211 0.555
42 Ag 0.591 0.881 0.036
43 Ag 0.619 0.211 0.156
44 Ag 0.619 0.909 0.464
45 Ag 0.656 0.445 0.536
46 Ag 0.656 0.711 0.119
47 Ag 0.711 0.091 0.055
48 Ag 0.711 0.119 0.656
49 Ag 0.789 0.445 0.409
50 Ag 0.789 0.844 0.381
51 Ag 0.844 0.381 0.789
52 Ag 0.844 0.964 0.055
53 Ag 0.881 0.036 0.591
54 Ag 0.881 0.344 0.289
55 Ag 0.909 0.464 0.619
56 Ag 0.909 0.945 0.289
57 Ag 0.945 0.156 0.036
58 Ag 0.945 0.289 0.909
59 Ag 0.964 0.055 0.844
60 Ag 0.964 0.409 0.119
61 O 0.000 0.000 0.000
62 O 0.000 0.000 0.500
63 O 0.000 0.500 0.000
64 O 0.000 0.500 0.500
65 O 0.125 0.750 0.875
66 O 0.125 0.875 0.250
67 O 0.250 0.125 0.875
68 O 0.250 0.625 0.375
69 O 0.375 0.250 0.625
70 O 0.375 0.625 0.750
71 O 0.500 0.000 0.000
72 O 0.500 0.000 0.500
73 O 0.500 0.500 0.000
74 O 0.500 0.500 0.500
75 O 0.625 0.375 0.250
76 O 0.625 0.750 0.375
77 O 0.750 0.375 0.625
78 O 0.750 0.875 0.125
79 O 0.875 0.125 0.750
80 O 0.875 0.250 0.125

Results
M_tot   0.0 μB/f.u.
Crystal system   cubic
Formation energy (no corrections)   -17 meV/atom

[7]
Material: Cs4AgO
Method: DFT, PBE
State: optimized geometry

Cell lengths 8.157, 8.157, 9.489 Å; angles 90.00, 90.00, 90.00 degrees
Atoms (fractional coordinates):
1 Cs 0.000 0.000 0.203
2 Cs 0.000 0.000 0.797
3 Cs 0.186 0.314 0.500
4 Cs 0.314 0.814 0.500
5 Cs 0.500 0.500 0.203
6 Cs 0.500 0.500 0.797
7 Cs 0.686 0.186 0.500
8 Cs 0.814 0.686 0.500
9 Ag 0.000 0.500 0.000
10 Ag 0.500 0.000 0.000
11 O 0.000 0.000 0.500
12 O 0.500 0.500 0.500

Results
M_tot   0.0 μB/f.u.
Crystal system   tetragonal
E above lowest polymorph   0.099 eV per atom
Formation energy (no corrections)   -388 meV/atom

[8]
Material: Cs3AgO2
Method: DFT, PBE
State: optimized geometry

Cell lengths 6.410, 12.367, 4.687 Å; angles 90.00, 90.00, 90.00 degrees
Atoms (fractional coordinates):
1 Cs 0.000 0.000 0.000
2 Cs 0.086 0.266 0.500
3 Cs 0.414 0.766 0.000
4 Cs 0.500 0.500 0.500
5 Cs 0.586 0.234 0.000
6 Cs 0.914 0.734 0.500
7 Ag 0.000 0.500 0.000
8 Ag 0.500 0.000 0.500
9 O 0.229 0.383 0.000
10 O 0.271 0.883 0.500
11 O 0.729 0.117 0.500
12 O 0.771 0.617 0.000

Results
M_tot   0.0 μB/f.u.
Crystal system   orthorhombic
Formation energy (no corrections)   -894 meV/atom